A PBEsol-optimized structure of BaTc2AgBi, computed with SCAN.

Values from the calculation:
For the calculated formation energy, the calculation gives 2.32 eV/atom. The calculation puts the volume at 135.9 Å³ per cell. The total energy comes out at -208.02 eV per formula unit. For the theoretical density, the calculation gives 7945 kg/m³.

Cell: 4.9930 4.9930 5.4505 Å, 90.00 90.00 90.00°
Space group P4/mmm (No. 123)
Symmetry-distinct sites (fractional):
Ba: 0.0000 0.0000 0.0000
Tc: 0.0000 0.5000 0.0000
Ag: 0.0000 0.0000 0.5000
Bi: 0.5000 0.5000 0.5000